[1]
8
Lattice="2.7755 0.0000 0.0000 0.0000 4.1713 0.0000 0.0000 0.0000 12.3618" Properties=species:S:1:pos:R:3 comment="PBE Al2CdCu, optimized geometry" m_tot_mub_per_cell=0.00 dos_ef_per_ev_fu=1.2 energy_ev_per_atom=-3.097 vol_a3_per_cell=143 pbc="T T T"
Al 0.0000 0.0000 0.0000
Al 0.0000 2.0857 2.2360
Al 1.3877 0.0000 8.4169
Al 1.3877 2.0857 6.1809
Cd 0.0000 2.0857 9.9415
Cd 1.3877 0.0000 3.7606
Cu 0.0000 0.0000 6.2597
Cu 1.3877 2.0857 0.0788

[2]
6
Lattice="4.1433 0.0000 0.0000 -2.0716 3.5882 0.0000 0.0000 0.0000 8.7420" Properties=species:S:1:pos:R:3 comment="PBE CaPrSi2Pt2, optimized geometry" m_tot_mub_per_cell=0.00 dos_ef_per_ev_fu=5.0 energy_ev_per_atom=-5.962 vol_a3_per_cell=130 e_form_raw_ev_per_atom=-1.010 pbc="T T T"
Ca 0.0000 0.0000 0.0000
Pr 0.0000 0.0000 4.3710
Si 0.0000 2.3921 6.5454
Si 2.0717 1.1961 2.1966
Pt 0.0000 2.3921 2.1537
Pt 2.0717 1.1961 6.5883

[3]
8
Lattice="3.9954 0.0000 0.0000 0.0000 3.9954 0.0000 0.0000 0.0000 13.0433" Properties=species:S:1:pos:R:3 comment="PBE LiYBr2, optimized geometry" m_tot_mub_per_cell=2.07 dos_ef_per_ev_fu=1.7 polymorph_energy_mev_per_atom=331 energy_ev_per_atom=-3.818 vol_a3_per_cell=208 e_form_raw_ev_per_atom=-0.887 pbc="T T T"
Li 0.0000 0.0000 0.0000
Li 1.9977 1.9977 6.5217
Y 0.0000 1.9977 9.7825
Y 1.9977 0.0000 3.2608
Br 0.0000 0.0000 6.5217
Br 0.0000 1.9977 3.2608
Br 1.9977 0.0000 9.7825
Br 1.9977 1.9977 0.0000

Copy entry 3 word for word.
8
Lattice="3.9954 0.0000 0.0000 0.0000 3.9954 0.0000 0.0000 0.0000 13.0433" Properties=species:S:1:pos:R:3 comment="PBE LiYBr2, optimized geometry" m_tot_mub_per_cell=2.07 dos_ef_per_ev_fu=1.7 polymorph_energy_mev_per_atom=331 energy_ev_per_atom=-3.818 vol_a3_per_cell=208 e_form_raw_ev_per_atom=-0.887 pbc="T T T"
Li 0.0000 0.0000 0.0000
Li 1.9977 1.9977 6.5217
Y 0.0000 1.9977 9.7825
Y 1.9977 0.0000 3.2608
Br 0.0000 0.0000 6.5217
Br 0.0000 1.9977 3.2608
Br 1.9977 0.0000 9.7825
Br 1.9977 1.9977 0.0000